Entry from the Alexandria database: a relaxed structure of RbNa5Tl2 (PBE-GGA).

Results
Its energy of formation is -28 kJ/mol of formula units. The spin magnetization is 0.0 μB per cell. As for the crystal system: orthorhombic. The total DFT energy (no corrections) comes out at -1.574 eV/atom.

abc: 4.7214 9.9981 13.0706
angles: 90.00 90.00 90.00
Last column: nearest neighbours and their distance in Å.
Atoms (fractional coordinates):
Rb  0.0000  0.0000  0.0000  4 Tl 3.97, 8 Na 4.39
Rb  0.5000  0.5000  0.5000  4 Tl 3.97, 8 Na 4.39
Na  0.0000  0.1914  0.3436  3 Tl 3.29-3.31, 4 Na 3.60-3.66
Na  0.0000  0.1914  0.6564  3 Tl 3.29-3.31, 4 Na 3.60-3.66
Na  0.0000  0.5000  0.0000  2 Tl 3.35, 8 Na 3.66
Na  0.0000  0.8086  0.3436  3 Tl 3.29-3.31, 4 Na 3.60-3.66
Na  0.0000  0.8086  0.6564  3 Tl 3.29-3.31, 4 Na 3.60-3.66
Na  0.5000  0.0000  0.5000  2 Tl 3.35, 8 Na 3.66
Na  0.5000  0.3086  0.1564  3 Tl 3.29-3.31, 4 Na 3.60-3.66
Na  0.5000  0.3086  0.8436  3 Tl 3.29-3.31, 4 Na 3.60-3.66
Na  0.5000  0.6914  0.1564  3 Tl 3.29-3.31, 4 Na 3.60-3.66
Na  0.5000  0.6914  0.8436  3 Tl 3.29-3.31, 4 Na 3.60-3.66
Tl  0.0000  0.5000  0.2559  7 Na 3.29-3.35
Tl  0.0000  0.5000  0.7441  7 Na 3.29-3.35
Tl  0.5000  0.0000  0.2441  7 Na 3.29-3.35
Tl  0.5000  0.0000  0.7559  7 Na 3.29-3.35